Below is an optimized crystal structure of TbCd4, with properties calculated at the PBE level.

Summary:
DFT formation energy ... -218 meV per atom
Space-group type ... Imma

a = 8.478 Å, b = 8.478 Å, c = 8.478 Å
α = 146.68°, β = 134.01°, γ = 57.97°
Positions (direct):
Tb 0.356 0.106 0.250
Tb 0.644 0.894 0.750
Cd 0.000 0.500 0.500
Cd 0.137 0.887 0.250
Cd 0.201 0.698 0.504
Cd 0.306 0.302 0.004
Cd 0.500 0.500 0.000
Cd 0.694 0.698 0.996
Cd 0.799 0.302 0.496
Cd 0.863 0.113 0.750